(1)
Material: Pu2Al9Ag
Method: DFT, PBE-GGA
State: relaxed

Calculated values
total moment = 34.40 Bohr magnetons per cell
calculated volume = 696.1 Å³ per cell
formation enthalpy at 0 K = -0.06 eV/atom

The structure in CIF format:
```
data_Pu2Al9Ag
_chemical_formula_sum 'Pu6 Al27 Ag3'
_cell_length_a 5.4873
_cell_length_b 5.4873
_cell_length_c 26.6926
_cell_angle_alpha 90.00
_cell_angle_beta 90.00
_cell_angle_gamma 120.00
_space_group_name_H-M_alt 'R -3 m'
_space_group_IT_number 166
_space_group_name_Hall '-R 3 2"'
loop_
_atom_site_label
_atom_site_fract_x
_atom_site_fract_y
_atom_site_fract_z
Pu1 0.0000 0.0000 0.1464
Al1 0.0000 0.0000 0.3346
Al2 0.0000 0.0000 0.5000
Al3 0.0064 0.5032 0.9159
Ag1 0.0000 0.0000 0.0000
```


(2)
Material: NpMn2SiC
Method: DFT, PBE-GGA
State: relaxed

Calculated values
total moment = 21.09 Bohr magnetons per cell
calculated volume = 269.4 Å³ per cell
uncorrected formation energy = -0.23 eV/atom

The structure in CIF format:
```
data_NpMn2SiC
_chemical_formula_sum 'Np4 Mn8 Si4 C4'
_cell_length_a 3.644
_cell_length_b 10.660
_cell_length_c 6.936
_cell_angle_alpha 90.00
_cell_angle_beta 90.00
_cell_angle_gamma 90.00
_space_group_name_H-M_alt 'C m c m'
_space_group_IT_number 63
_space_group_name_Hall '-C 2c 2'
loop_
_atom_site_label
_atom_site_fract_x
_atom_site_fract_y
_atom_site_fract_z
Np1 0.000 0.044 0.250
Mn1 0.000 0.330 0.059
Si1 0.000 0.235 0.750
C1 0.000 0.500 0.000
```